No. 1
Below is a geometry-optimized HgIr2Os structure, with properties calculated at the PBEsol level.

The calculation puts the formation energy at 0.364 eV per atom. For the total energy, the calculation gives -92.93 eV/cell. The calculation puts the theoretical density at 21.08 Mg/m³. Its density of states at the Fermi level is 3.1 states/eV/f.u.

The structure belongs to space group R3m (No. 160, hexagonal axes); the cell edges are 2.7746, 2.7746 and 27.4808 Å and the angles 90.00°, 90.00° and 120.00°. The distinct sites, in fractional coordinates, are Hg at (0.0000, 0.0000, 0.0000), Ir at (0.0000, 0.0000, 0.2451), Ir at (0.0000, 0.0000, 0.4988) and Os at (0.0000, 0.0000, 0.7563).



No. 2
Below is a geometry-optimized TaZn2Ag structure, with properties calculated at the PBEsol level.

The calculation puts the formation energy at -0.044 eV per atom. For the total energy, the calculation gives -19.20 eV/cell. The calculation puts the theoretical density at 11.39 Mg/m³. Its density of states at the Fermi level is 1.6 states/eV/f.u.

The structure belongs to space group P4/mmm (No. 123); the cell edges are 2.830, 2.830 and 7.638 Å and the angles 90.00°, 90.00° and 90.00°. The distinct sites, in fractional coordinates, are Ta at (0.000, 0.000, 0.000), Zn at (0.500, 0.500, 0.255) and Ag at (0.000, 0.000, 0.500).